1.
Below is crystalline MgTl2 at its relaxed geometry, with properties calculated at the PBE level.

Unit cell a=3.5287 b=3.5287 c=7.5952 alpha=90.00 beta=90.00 gamma=120.00
Space group P-3m1 (No. 164)
Unique sites:
Mg: 0.0000 0.0000 0.0000 [1 per cell]
Tl: 0.3333 0.6667 0.3199 [2 per cell]

Computed properties:
Crystal system: trigonal
Calculated total energy in eV for the cell shown: -6.3
Energy relative to the lowest polymorph listed for this composition in meV/atom: 28
N(E_F) in states/eV/f.u.: 1.32

2.
Below is crystalline Mg7Tl3 at its relaxed geometry, with properties calculated at the PBE level.

Unit cell a=16.486 b=4.596 c=6.416 alpha=90.00 beta=103.50 gamma=90.00
Space group C2/m (No. 12)
Unique sites:
Mg: 0.000 0.000 0.000 [2 per cell]
Mg: 0.095 0.500 0.318 [4 per cell]
Mg: 0.106 0.500 0.825 [4 per cell]
Mg: 0.203 0.000 0.622 [4 per cell]
Tl: 0.000 0.000 0.500 [2 per cell]
Tl: 0.193 0.000 0.130 [4 per cell]

Computed properties:
Crystal system: monoclinic
Calculated total energy in eV for the cell shown: -37.1
N(E_F) in states/eV/f.u.: 5.36

3.
Below is crystalline Mg3Tl5 at its relaxed geometry, with properties calculated at the PBE level.

Unit cell a=6.083 b=16.897 c=8.908 alpha=90.00 beta=109.87 gamma=90.00
Space group Cm (No. 8)
Unique sites:
Mg: 0.000 0.000 0.000 [2 per cell]
Mg: 0.104 0.500 0.310 [2 per cell]
Mg: 0.302 0.173 0.655 [4 per cell]
Mg: 0.303 0.249 0.155 [4 per cell]
Tl: 0.046 0.000 0.643 [2 per cell]
Tl: 0.058 0.500 0.667 [2 per cell]
Tl: 0.118 0.101 0.308 [4 per cell]
Tl: 0.193 0.327 0.453 [4 per cell]
Tl: 0.411 0.327 0.857 [4 per cell]
Tl: 0.486 0.101 0.002 [4 per cell]

Computed properties:
Crystal system: monoclinic
Calculated total energy in eV for the cell shown: -66.2
Energy relative to the lowest polymorph listed for this composition in meV/atom: 16
N(E_F) in states/eV/f.u.: 2.73

Copy entry 3 word for word.
Below is crystalline Mg3Tl5 at its relaxed geometry, with properties calculated at the PBE level.

Unit cell a=6.083 b=16.897 c=8.908 alpha=90.00 beta=109.87 gamma=90.00
Space group Cm (No. 8)
Unique sites:
Mg: 0.000 0.000 0.000 [2 per cell]
Mg: 0.104 0.500 0.310 [2 per cell]
Mg: 0.302 0.173 0.655 [4 per cell]
Mg: 0.303 0.249 0.155 [4 per cell]
Tl: 0.046 0.000 0.643 [2 per cell]
Tl: 0.058 0.500 0.667 [2 per cell]
Tl: 0.118 0.101 0.308 [4 per cell]
Tl: 0.193 0.327 0.453 [4 per cell]
Tl: 0.411 0.327 0.857 [4 per cell]
Tl: 0.486 0.101 0.002 [4 per cell]

Computed properties:
Crystal system: monoclinic
Calculated total energy in eV for the cell shown: -66.2
Energy relative to the lowest polymorph listed for this composition in meV/atom: 16
N(E_F) in states/eV/f.u.: 2.73